12
Lattice="1.863 -7.393 0.000 1.863 7.393 0.000 0.000 0.000 9.854" Properties=species:S:1:pos:R:3 comment="BaCoAuS3 | OQMD | PBE-GGA | optimized geometry" spacegroup="Cmcm, No. 63" e_tot_ev_per_atom=-4.6363 pbc="T T T"
Ba 1.863 4.340 7.390
Ba 1.863 -4.340 2.463
Co 1.863 0.000 0.000
Co 1.863 0.000 4.927
Au 1.863 5.752 2.463
Au 1.863 -5.752 7.390
S 1.863 5.950 0.161
S 1.863 5.950 4.766
S 1.863 0.641 2.463
S 1.863 -0.641 7.390
S 1.863 -5.950 5.088
S 1.863 -5.950 9.693